--- i ---
# LaReRh2 | the Alexandria database | PBE | relaxed
data_LaReRh2
_cell_length_a 5.9790
_cell_length_b 7.9875
_cell_length_c 2.9325
_cell_angle_alpha 90.00
_cell_angle_beta 90.00
_cell_angle_gamma 90.00
_space_group_name_H-M_alt 'C m m m'
_space_group_IT_number 65
_space_group_name_Hall '-C 2 2'
loop_
_atom_site_label
_atom_site_fract_x
_atom_site_fract_y
_atom_site_fract_z
La1 0.0000 0.0000 0.0000
Re1 0.0000 0.5000 0.0000
Rh1 0.2500 0.2500 0.5000
# * density: 12.59 Mg/m³



--- ii ---
# LaReRh2 | the Alexandria database | PBE | relaxed
data_LaReRh2
_cell_length_a 2.9364
_cell_length_b 2.9364
_cell_length_c 8.1975
_cell_angle_alpha 90.00
_cell_angle_beta 90.00
_cell_angle_gamma 90.00
_space_group_name_H-M_alt 'P 4/m m m'
_space_group_IT_number 123
_space_group_name_Hall '-P 4 2'
loop_
_atom_site_label
_atom_site_fract_x
_atom_site_fract_y
_atom_site_fract_z
La1 0.0000 0.0000 0.0000
Re1 0.0000 0.0000 0.5000
Rh1 0.5000 0.5000 0.2913
# * density: 12.47 Mg/m³



--- iii ---
# LaReRh2 | the Alexandria database | PBE | relaxed
data_LaReRh2
_cell_length_a 4.9325
_cell_length_b 4.9325
_cell_length_c 2.9369
_cell_angle_alpha 90.00
_cell_angle_beta 90.00
_cell_angle_gamma 90.00
_space_group_name_H-M_alt 'P 4/m m m'
_space_group_IT_number 123
_space_group_name_Hall '-P 4 2'
loop_
_atom_site_label
_atom_site_fract_x
_atom_site_fract_y
_atom_site_fract_z
La1 0.0000 0.0000 0.0000
Re1 0.5000 0.5000 0.0000
Rh1 0.0000 0.5000 0.5000
# * density: 12.34 Mg/m³



Verdict on stability: iii comes out at the bottom.



--- i ---
# LaReRh2 | the Alexandria database | PBE | relaxed
data_LaReRh2
_cell_length_a 3.2119
_cell_length_b 3.2119
_cell_length_c 7.2445
_cell_angle_alpha 90.00
_cell_angle_beta 90.00
_cell_angle_gamma 90.00
_space_group_name_H-M_alt 'P 4 m m'
_space_group_IT_number 99
_space_group_name_Hall 'P 4 -2'
loop_
_atom_site_label
_atom_site_fract_x
_atom_site_fract_y
_atom_site_fract_z
La1 0.0000 0.0000 0.0000
Re1 0.5000 0.5000 0.3319
Rh1 0.0000 0.0000 0.4961
Rh2 0.5000 0.5000 0.7211
# * density: 11.80 Mg/m³



--- ii ---
# LaReRh2 | the Alexandria database | PBE | relaxed
data_LaReRh2
_cell_length_a 4.1448
_cell_length_b 4.1448
_cell_length_c 8.3184
_cell_angle_alpha 90.00
_cell_angle_beta 90.00
_cell_angle_gamma 90.00
_space_group_name_H-M_alt 'I -4 m 2'
_space_group_IT_number 119
_space_group_name_Hall 'I -4 -2'
loop_
_atom_site_label
_atom_site_fract_x
_atom_site_fract_y
_atom_site_fract_z
La1 0.0000 0.0000 0.0000
Re1 0.0000 0.5000 0.7500
Rh1 0.0000 0.0000 0.5000
Rh2 0.0000 0.5000 0.2500
# * density: 12.34 Mg/m³



Verdict on stability: ii comes out at the bottom.



--- i ---
# LaReRh2 | the Alexandria database | PBE | relaxed
data_LaReRh2
_cell_length_a 2.8792
_cell_length_b 3.8984
_cell_length_c 6.6180
_cell_angle_alpha 90.00
_cell_angle_beta 90.00
_cell_angle_gamma 90.00
_space_group_name_H-M_alt 'P m m 2'
_space_group_IT_number 25
_space_group_name_Hall 'P 2 -2'
loop_
_atom_site_label
_atom_site_fract_x
_atom_site_fract_y
_atom_site_fract_z
La1 0.0000 0.0000 0.0000
Re1 0.5000 0.5000 0.3402
Rh1 0.0000 0.0000 0.4941
Rh2 0.5000 0.5000 0.7285
# * density: 11.87 Mg/m³



--- ii ---
# LaReRh2 | the Alexandria database | PBE | relaxed
data_LaReRh2
_cell_length_a 6.5836
_cell_length_b 6.5836
_cell_length_c 6.5836
_cell_angle_alpha 90.00
_cell_angle_beta 90.00
_cell_angle_gamma 90.00
_space_group_name_H-M_alt 'F -4 3 m'
_space_group_IT_number 216
_space_group_name_Hall 'F -4 2 3'
loop_
_atom_site_label
_atom_site_fract_x
_atom_site_fract_y
_atom_site_fract_z
La1 0.0000 0.0000 0.0000
Re1 0.2500 0.2500 0.7500
Rh1 0.0000 0.0000 0.5000
Rh2 0.2500 0.2500 0.2500
# * density: 12.36 Mg/m³



Verdict on stability: ii comes out at the bottom.



--- i ---
# LaReRh2 | the Alexandria database | PBE | relaxed
data_LaReRh2
_cell_length_a 3.9014
_cell_length_b 4.9757
_cell_length_c 7.9186
_cell_angle_alpha 90.00
_cell_angle_beta 90.00
_cell_angle_gamma 90.00
_space_group_name_H-M_alt 'I m m m'
_space_group_IT_number 71
_space_group_name_Hall '-I 2 2'
loop_
_atom_site_label
_atom_site_fract_x
_atom_site_fract_y
_atom_site_fract_z
La1 0.0000 0.0000 0.0000
Re1 0.0000 0.0000 0.5000
Rh1 0.0000 0.5000 0.2109
# * density: 11.47 Mg/m³



--- ii ---
# LaReRh2 | the Alexandria database | PBE | relaxed
data_LaReRh2
_cell_length_a 2.9109
_cell_length_b 4.7720
_cell_length_c 10.4225
_cell_angle_alpha 90.00
_cell_angle_beta 90.00
_cell_angle_gamma 90.00
_space_group_name_H-M_alt 'I m m 2'
_space_group_IT_number 44
_space_group_name_Hall 'I 2 -2'
loop_
_atom_site_label
_atom_site_fract_x
_atom_site_fract_y
_atom_site_fract_z
La1 0.0000 0.0000 0.0000
Re1 0.0000 0.5000 0.2225
Rh1 0.0000 0.0000 0.5084
Rh2 0.0000 0.5000 0.7738
# * density: 12.18 Mg/m³



--- iii ---
# LaReRh2 | the Alexandria database | PBE | relaxed
data_LaReRh2
_cell_length_a 4.2613
_cell_length_b 4.2613
_cell_length_c 3.9739
_cell_angle_alpha 90.00
_cell_angle_beta 90.00
_cell_angle_gamma 90.00
_space_group_name_H-M_alt 'P 4/m m m'
_space_group_IT_number 123
_space_group_name_Hall '-P 4 2'
loop_
_atom_site_label
_atom_site_fract_x
_atom_site_fract_y
_atom_site_fract_z
La1 0.0000 0.0000 0.0000
Re1 0.5000 0.5000 0.0000
Rh1 0.0000 0.5000 0.5000
# * density: 12.22 Mg/m³



--- iv ---
# LaReRh2 | the Alexandria database | PBE | relaxed
data_LaReRh2
_cell_length_a 6.6485
_cell_length_b 6.6485
_cell_length_c 6.6485
_cell_angle_alpha 90.00
_cell_angle_beta 90.00
_cell_angle_gamma 90.00
_space_group_name_H-M_alt 'F m -3 m'
_space_group_IT_number 225
_space_group_name_Hall '-F 4 2 3'
loop_
_atom_site_label
_atom_site_fract_x
_atom_site_fract_y
_atom_site_fract_z
La1 0.0000 0.0000 0.0000
Re1 0.0000 0.0000 0.5000
Rh1 0.2500 0.2500 0.2500
# * density: 12.00 Mg/m³



Verdict on stability: iv comes out at the bottom.



--- i ---
# LaReRh2 | the Alexandria database | PBE | relaxed
data_LaReRh2
_cell_length_a 2.8771
_cell_length_b 3.6609
_cell_length_c 7.0005
_cell_angle_alpha 90.00
_cell_angle_beta 90.00
_cell_angle_gamma 90.00
_space_group_name_H-M_alt 'P m m m'
_space_group_IT_number 47
_space_group_name_Hall '-P 2 2'
loop_
_atom_site_label
_atom_site_fract_x
_atom_site_fract_y
_atom_site_fract_z
La1 0.0000 0.0000 0.0000
Re1 0.0000 0.0000 0.5000
Rh1 0.5000 0.5000 0.3084
# * density: 11.96 Mg/m³



--- ii ---
# LaReRh2 | the Alexandria database | PBE | relaxed
data_LaReRh2
_cell_length_a 9.5230
_cell_length_b 2.9621
_cell_length_c 5.2657
_cell_angle_alpha 90.00
_cell_angle_beta 99.49
_cell_angle_gamma 90.00
_space_group_name_H-M_alt 'C 1 m 1'
_space_group_IT_number 8
_space_group_name_Hall 'C -2y'
loop_
_atom_site_label
_atom_site_fract_x
_atom_site_fract_y
_atom_site_fract_z
La1 0.0000 0.0000 0.0000
Re1 0.2313 0.0000 0.6430
Rh1 0.0014 0.5000 0.5143
Rh2 0.2632 0.5000 0.2437
# * density: 12.04 Mg/m³



--- iii ---
# LaReRh2 | the Alexandria database | PBE | relaxed
data_LaReRh2
_cell_length_a 2.9494
_cell_length_b 4.6296
_cell_length_c 5.3845
_cell_angle_alpha 90.00
_cell_angle_beta 99.74
_cell_angle_gamma 90.00
_space_group_name_H-M_alt 'P 1 m 1'
_space_group_IT_number 6
_space_group_name_Hall 'P -2y'
loop_
_atom_site_label
_atom_site_fract_x
_atom_site_fract_y
_atom_site_fract_z
La1 0.0000 0.0000 0.0000
Re1 0.7825 0.5000 0.3970
Rh1 0.4223 0.0000 0.4924
Rh2 0.4344 0.5000 0.8235
# * density: 12.17 Mg/m³



Verdict on stability: ii comes out at the bottom.



--- i ---
# LaRe2Rh | the Alexandria database | PBE | relaxed
data_LaRe2Rh
_cell_length_a 6.5593
_cell_length_b 6.5593
_cell_length_c 6.5593
_cell_angle_alpha 90.00
_cell_angle_beta 90.00
_cell_angle_gamma 90.00
_space_group_name_H-M_alt 'F m -3 m'
_space_group_IT_number 225
_space_group_name_Hall '-F 4 2 3'
loop_
_atom_site_label
_atom_site_fract_x
_atom_site_fract_y
_atom_site_fract_z
La1 0.0000 0.0000 0.0000
Re1 0.2500 0.2500 0.2500
Rh1 0.0000 0.0000 0.5000
# * density: 14.46 Mg/m³



--- ii ---
# LaRe2Rh | the Alexandria database | PBE | relaxed
data_LaRe2Rh
_cell_length_a 6.6079
_cell_length_b 6.6079
_cell_length_c 6.6079
_cell_angle_alpha 90.00
_cell_angle_beta 90.00
_cell_angle_gamma 90.00
_space_group_name_H-M_alt 'F -4 3 m'
_space_group_IT_number 216
_space_group_name_Hall 'F -4 2 3'
loop_
_atom_site_label
_atom_site_fract_x
_atom_site_fract_y
_atom_site_fract_z
La1 0.0000 0.0000 0.0000
Re1 0.0000 0.0000 0.5000
Re2 0.2500 0.2500 0.2500
Rh1 0.2500 0.2500 0.7500
# * density: 14.14 Mg/m³



Verdict on stability: i comes out at the bottom.